The following is a DFT calculation (PBE) of Ag2WS3 after structural relaxation.

Unit cell a=6.7891 b=6.7891 c=7.1551 alpha=100.06 beta=100.06 gamma=119.85
Atoms (fractional coordinates):
1 Ag 0.0750 0.9250 0.5000
2 Ag 0.2586 0.6703 0.0109
3 Ag 0.6703 0.2586 0.5109
4 Ag 0.9250 0.0750 0.0000
5 W 0.3579 0.5072 0.4700
6 W 0.5072 0.3579 0.9700
7 S 0.1873 0.9722 0.8683
8 S 0.3398 0.7998 0.3802
9 S 0.5131 0.6301 0.8086
10 S 0.6301 0.5131 0.3086
11 S 0.7998 0.3398 0.8802
12 S 0.9722 0.1873 0.3683

Properties
**VASP energy**: -0.193 hartree per atom
**Mass density**: 6.14 g/cm³
**Calculated volume**: 22.3 A^3/atom
**SG**: Cc, No. 9